# NdPuAu4

Crystalline NdPuAu4 at its relaxed geometry (PBE, the Alexandria database).

Results
Excess energy over the best structure of this formula in the dataset (eV/atom): 0.013
Space-group type: No. 216
DOS(E_F) (states/eV/f.u.): 15.14
Calculated total energy (eV/atom): -5.775
Density (g cm⁻³): 14.7
ΔE_f (meV/atom): -407.1

Structure (POSCAR):
```
NdPuAu4
1.0
0.000 4.047 4.047
4.047 0.000 4.047
4.047 4.047 0.000
Nd Pu Au
1 1 4
Direct
0.000 0.000 0.000
0.250 0.250 0.250
0.126 0.625 0.625
0.625 0.126 0.625
0.625 0.625 0.126
0.625 0.625 0.625
```